A relaxed PrTlCdCl6 crystal. Source: Alexandria, functional PBE.

Computed properties:
- raw total energy (eV per atom) = -3.732
- formation energy without anion corrections (eV per atom) = -1.605
- M_tot (μB/f.u.) = 0.0
- DOS(E_F) (states/eV/f.u.) = 0.0
- SG = P-31c

a b c (Å): 7.1172 7.1172 13.9298
angles (deg): 90.00 90.00 120.00
With the nearest neighbours (Å) after each atom.
Positions (direct):
Cl 0.0112 0.6344 0.3609  1 Cd 2.68, 1 Pr 2.78
Tl 0.0000 0.0000 0.0000  6 Cl 3.28
Cl 0.6232 0.9888 0.3609  1 Cd 2.68, 1 Pr 2.78
Pr 0.6667 0.3333 0.2500  6 Cl 2.78
Cl 0.3768 0.3656 0.8609  1 Cd 2.68, 1 Pr 2.78
Cl 0.3656 0.9888 0.1391  1 Cd 2.68, 1 Pr 2.78
Cl 0.9888 0.6232 0.8609  1 Cd 2.68, 1 Pr 2.78
Cl 0.3768 0.0112 0.6391  1 Cd 2.68, 1 Pr 2.78
Cl 0.6344 0.0112 0.8609  1 Cd 2.68, 1 Pr 2.78
Cl 0.9888 0.3656 0.6391  1 Cd 2.68, 1 Pr 2.78
Cd 0.6667 0.3333 0.7500  6 Cl 2.68
Cl 0.0112 0.3768 0.1391  1 Cd 2.68, 1 Pr 2.78
Cl 0.6232 0.6344 0.1391  1 Cd 2.68, 1 Pr 2.78
Cl 0.6344 0.6232 0.6391  1 Cd 2.68, 1 Pr 2.78
Pr 0.3333 0.6667 0.7500  6 Cl 2.78
Cl 0.3656 0.3768 0.3609  1 Cd 2.68, 1 Pr 2.78
Cd 0.3333 0.6667 0.2500  6 Cl 2.68
Tl 0.0000 0.0000 0.5000  6 Cl 3.28


A relaxed KSc2Te crystal. Source: Alexandria, functional PBE.

Computed properties:
- raw total energy (eV per atom) = -4.381
- formation energy without anion corrections (eV per atom) = -0.155
- M_tot (μB/f.u.) = 1.2
- DOS(E_F) (states/eV/f.u.) = 3.5
- SG = P4/mmm

a b c (Å): 3.6620 3.6620 9.9061
angles (deg): 90.00 90.00 90.00
With the nearest neighbours (Å) after each atom.
Positions (direct):
K 0.5000 0.5000 0.7500  4 K 3.66
Te 0.5000 0.5000 0.2500  8 Sc 3.03
Sc 0.0000 0.0000 0.4095  4 Te 3.03, 1 Sc 3.16
Sc 0.0000 0.0000 0.0905  4 Te 3.03, 1 Sc 3.16


A relaxed UBiH crystal. Source: Alexandria, functional PBE.

Computed properties:
- raw total energy (eV per atom) = -6.093
- M_tot (μB/f.u.) = 3.4
- DOS(E_F) (states/eV/f.u.) = 3.7
- excess energy over the best structure of this formula in the dataset (eV/atom) = 0.200
- SG = Pmma

a b c (Å): 3.4571 5.7426 6.0727
angles (deg): 90.00 90.00 90.00
With the nearest neighbours (Å) after each atom.
Positions (direct):
H 0.5024 0.5000 0.2500  4 U 2.29-2.31
U 0.0000 0.5000 0.0000  4 H 2.29-2.31
H 0.4976 0.5000 0.7500  4 U 2.29-2.31
Bi 0.2659 0.0000 0.2500  2 H 2.99
U 0.0000 0.5000 0.5000  4 H 2.29-2.31
Bi 0.7341 0.0000 0.7500  2 H 2.99


A relaxed Er2MnGa3Pt4 crystal. Source: Alexandria, functional PBE.

Computed properties:
- raw total energy (eV per atom) = -6.015
- M_tot (μB/f.u.) = 3.8
- DOS(E_F) (states/eV/f.u.) = 5.8
- ΔH_f (0 K) (meV per atom) = -861.0
- SG = P-4m2

a b c (Å): 4.0289 4.0289 11.3381
angles (deg): 90.00 90.00 90.00
With the nearest neighbours (Å) after each atom.
Positions (direct):
Ga 0.5000 0.0000 0.8655  5 Pt 2.46-2.53
Er 0.0000 0.5000 0.7490  4 Pt 3.07, 4 Ga 3.14
Ga 0.0000 0.5000 0.1345  5 Pt 2.46-2.53
Er 0.5000 0.0000 0.2510  4 Pt 3.07, 4 Ga 3.14
Pt 0.5000 0.0000 0.6482  3 Ga 2.46-2.62, 2 Mn 2.62
Ga 0.0000 0.0000 0.5000  4 Pt 2.62, 4 Mn 2.85
Pt 0.5000 0.5000 0.0000  4 Ga 2.53
Pt 0.0000 0.5000 0.3518  3 Ga 2.46-2.62, 2 Mn 2.62
Pt 0.0000 0.0000 0.0000  4 Ga 2.53
Mn 0.5000 0.5000 0.5000  4 Pt 2.62, 4 Ga 2.85


A relaxed Tb2Pr5 crystal. Source: Alexandria, functional PBE.

Computed properties:
- raw total energy (eV per atom) = -4.722
- M_tot (μB/f.u.) = 0.0
- DOS(E_F) (states/eV/f.u.) = 10.8
- ΔH_f (0 K) (meV per atom) = 15.3
- excess energy over the best structure of this formula in the dataset (eV/atom) = 0.000
- SG = C2/m

a b c (Å): 6.3562 6.3562 9.7177
angles (deg): 70.94 123.05 131.72
With the nearest neighbours (Å) after each atom.
Positions (direct):
Pr 0.1467 0.0715 0.7182  4 Tb 3.64-3.67, 8 Pr 3.65-3.73
Pr 0.0000 0.5000 0.0000  6 Pr 3.65-3.68, 6 Tb 3.65-3.68
Tb 0.5739 0.7849 0.8588  10 Pr 3.64-3.69, 2 Tb 3.65
Pr 0.8533 0.9285 0.2818  4 Tb 3.64-3.67, 8 Pr 3.65-3.73
Pr 0.2857 0.6437 0.4294  9 Pr 3.66-3.69, 3 Tb 3.67-3.69
Pr 0.7143 0.3563 0.5706  9 Pr 3.66-3.69, 3 Tb 3.67-3.69
Tb 0.4261 0.2151 0.1412  10 Pr 3.64-3.69, 2 Tb 3.65


A relaxed ErGeAu crystal. Source: Alexandria, functional PBE.

Computed properties:
- raw total energy (eV per atom) = -4.969
- M_tot (μB/f.u.) = 0.0
- DOS(E_F) (states/eV/f.u.) = 0.3
- ΔH_f (0 K) (meV per atom) = -816.2
- SG = P6_3mc

a b c (Å): 4.4623 4.4623 7.2392
angles (deg): 90.00 90.00 120.00
With the nearest neighbours (Å) after each atom.
Positions (direct):
Au 0.6667 0.3333 0.2939  3 Ge 2.65
Au 0.3333 0.6667 0.7939  3 Ge 2.65
Ge 0.6667 0.3333 0.7068  3 Au 2.65
Er 0.0000 0.0000 0.0001  3 Au 2.98, 3 Ge 2.98
Er 0.0000 0.0000 0.5000  3 Au 2.98, 3 Ge 2.98
Ge 0.3333 0.6667 0.2068  3 Au 2.65


A relaxed Ti3BeCo3 crystal. Source: Alexandria, functional PBE.

Computed properties:
- raw total energy (eV per atom) = -7.151
- M_tot (μB/f.u.) = 0.0
- DOS(E_F) (states/eV/f.u.) = 7.5
- ΔH_f (0 K) (meV per atom) = -190.2
- SG = C2/m

a b c (Å): 5.4464 5.4464 6.0780
angles (deg): 86.35 86.35 88.51
With the nearest neighbours (Å) after each atom.
Positions (direct):
Co 0.2481 0.7519 0.5000  2 Be 2.24
Co 0.3331 0.6669 0.0000  2 Be 2.27, 2 Ti 2.37, 1 Co 2.54
Be 0.5021 0.5021 0.3094  6 Co 2.16-2.42, 1 Be 2.31
Co 0.2481 0.2481 0.4823  2 Be 2.16-2.42, 3 Ti 2.34-2.35
Co 0.7519 0.7519 0.5177  2 Be 2.16-2.42, 3 Ti 2.34-2.35
Be 0.4979 0.4979 0.6906  6 Co 2.16-2.42, 1 Be 2.31
Co 0.7519 0.2481 0.5000  2 Be 2.24
Ti 0.9382 0.9382 0.7985  1 Co 2.34
Ti 0.4357 0.0239 0.7714  4 Co 2.35-2.58, 1 Be 2.62
Ti 0.0239 0.4357 0.7714  4 Co 2.35-2.58, 1 Be 2.62
Ti 0.5643 0.9761 0.2286  4 Co 2.35-2.58, 1 Be 2.62
Co 0.6669 0.3331 0.0000  2 Be 2.27, 2 Ti 2.37, 1 Co 2.54
Ti 0.9761 0.5643 0.2286  4 Co 2.35-2.58, 1 Be 2.62
Ti 0.0618 0.0618 0.2015  1 Co 2.34


A relaxed PmBiPtAu crystal. Source: Alexandria, functional PBE.

Computed properties:
- raw total energy (eV per atom) = -5.142
- M_tot (μB/f.u.) = 0.0
- DOS(E_F) (states/eV/f.u.) = 2.4
- ΔH_f (0 K) (meV per atom) = -654.5
- SG = F-43m

a b c (Å): 5.0730 5.0730 5.0730
angles (deg): 60.00 60.00 60.00
With the nearest neighbours (Å) after each atom.
Positions (direct):
Au 0.7500 0.7500 0.7500  4 Pm 3.11, 4 Bi 3.11
Pm 0.0000 0.0000 0.0000  4 Au 3.11, 4 Pt 3.11
Bi 0.5000 0.5000 0.5000  4 Pt 3.11, 4 Au 3.11
Pt 0.2500 0.2500 0.2500  4 Pm 3.11, 4 Bi 3.11